# CeSc2MnN4, relaxed, DFT PBE
# - E_tot (eV/atom) = -8.97
# - formation energy without anion corrections (eV per atom) = -1.34
# - crystal system = orthorhombic
data_CeSc2MnN4
_chemical_formula_sum 'Ce4 Sc8 Mn4 N16'
_cell_length_a 3.261
_cell_length_b 10.965
_cell_length_c 10.852
_cell_angle_alpha 90.00
_cell_angle_beta 90.00
_cell_angle_gamma 90.00
_space_group_name_H-M_alt 'C m c m'
_space_group_IT_number 63
_space_group_name_Hall '-C 2c 2'
loop_
_atom_site_label
_atom_site_fract_x
_atom_site_fract_y
_atom_site_fract_z
Ce1 0.000 0.103 0.250
Sc1 0.000 0.369 0.044
Mn1 0.000 0.156 0.750
N1 0.000 0.000 0.000
N2 0.000 0.265 0.623
N3 0.000 0.429 0.250